# GGA+U NiAgPd2F8, optimized geometry
# E in eV/atom: -3.7239
# Symmetry: No. 119
# Total moment in μB per cell: 5.12
data_NiAgPd2F8
_chemical_formula_sum 'Ni1 Ag1 Pd2 F8'
_symmetry_space_group_name_H-M 'P 1'
_symmetry_Int_Tables_number 1
_cell_length_a 6.1385
_cell_length_b 6.1385
_cell_length_c 6.1385
_cell_angle_alpha 113.44
_cell_angle_beta 113.44
_cell_angle_gamma 101.80
loop_
_symmetry_equiv_pos_as_xyz
'x,y,z'
loop_
_atom_site_label
_atom_site_type_symbol
_atom_site_fract_x
_atom_site_fract_y
_atom_site_fract_z
_atom_site_occupancy
Ni1 Ni 0.0000 0.0000 0.0000 1
Ag1 Ag 0.7500 0.2500 0.5000 1
Pd1 Pd 0.2500 0.7500 0.5000 1
Pd2 Pd 0.5000 0.5000 0.0000 1
F1 F 0.0422 0.3385 0.2963 1
F2 F 0.0422 0.7459 0.7037 1
F3 F 0.1027 0.2866 0.8161 1
F4 F 0.2541 0.9578 0.2963 1
F5 F 0.4705 0.2866 0.1839 1
F6 F 0.6615 0.9578 0.7037 1
F7 F 0.7134 0.5295 0.8161 1
F8 F 0.7134 0.8973 0.1839 1